1.
{
  "formula": "DyMg3",
  "functional": "GGA-PBE",
  "state": "relaxed",
  "cell": [[-4.603, 2.014, -1.219], [0.311, -2.133, -4.699], [-3.299, -6.019, 2.514]],
  "species": ["Mg", "Mg", "Dy", "Mg", "Dy", "Mg", "Mg", "Mg"],
  "frac_coords": [[0.500, 0.500, 0.000], [0.000, 0.500, 0.250], [0.500, 0.500, 0.500], [0.000, 0.500, 0.750], [0.000, 0.000, 0.000], [0.500, 0.000, 0.250], [0.500, 0.000, 0.750], [0.000, 0.000, 0.500]],
  "total_magnetization_mub_per_cell": 0.03,
  "sg": "No. 225",
  "total_energy_ry_per_atom": -0.1751
}

***

2.
{
  "formula": "Dy5Mg",
  "functional": "GGA-PBE",
  "state": "relaxed",
  "cell": [[6.440, 0.000, 0.000], [-3.220, 5.578, 0.000], [0.000, 0.000, 5.664]],
  "species": ["Mg", "Dy", "Dy", "Dy", "Dy", "Dy"],
  "frac_coords": [[0.000, 0.000, 0.000], [0.500, 0.500, 0.500], [0.333, 0.667, 0.000], [0.000, 0.500, 0.500], [0.500, 0.000, 0.500], [0.667, 0.333, 0.000]],
  "total_magnetization_mub_per_cell": 0.25,
  "sg": "No. 191",
  "total_energy_ry_per_atom": -0.2687
}

***

3.
{
  "formula": "Dy2Mg",
  "functional": "GGA-PBE",
  "state": "relaxed",
  "cell": [[0.000, 4.510, 4.510], [4.510, 0.000, 4.510], [4.510, 4.510, 0.000]],
  "species": ["Dy", "Dy", "Mg", "Mg", "Dy", "Dy"],
  "frac_coords": [[0.625, 0.625, 0.625], [0.625, 0.125, 0.625], [0.250, 0.250, 0.250], [0.000, 0.000, 0.000], [0.125, 0.625, 0.625], [0.625, 0.625, 0.125]],
  "total_magnetization_mub_per_cell": 0.01,
  "sg": "No. 227",
  "e_above_lowest_polymorph_mev_per_atom": 0,
  "total_energy_ry_per_atom": -0.2424
}

***

4.
{
  "formula": "DyMg3",
  "functional": "GGA-PBE",
  "state": "relaxed",
  "cell": [[-2.581, 2.581, 3.662], [2.581, -2.581, 3.662], [2.581, 2.581, -3.662]],
  "species": ["Dy", "Mg", "Mg", "Mg"],
  "frac_coords": [[0.000, 0.000, 0.000], [0.750, 0.250, 0.500], [0.500, 0.500, 0.000], [0.250, 0.750, 0.500]],
  "total_magnetization_mub_per_cell": 0.01,
  "sg": "No. 139",
  "total_energy_ry_per_atom": -0.1751
}

***

5.
{
  "formula": "Dy2Mg",
  "functional": "GGA-PBE",
  "state": "relaxed",
  "cell": [[4.722, 2.726, 7.711], [-4.722, 2.726, 7.711], [0.000, -5.453, 7.711]],
  "species": ["Mg", "Mg", "Dy", "Dy", "Dy", "Dy"],
  "frac_coords": [[0.500, 0.500, 0.500], [0.250, 0.250, 0.250], [0.875, 0.375, 0.375], [0.375, 0.375, 0.375], [0.375, 0.375, 0.875], [0.375, 0.875, 0.375]],
  "total_magnetization_mub_per_cell": 0.52,
  "sg": "No. 227",
  "e_above_lowest_polymorph_mev_per_atom": 1791,
  "total_energy_ry_per_atom": -0.1108
}

***

6.
{
  "formula": "Dy2Mg",
  "functional": "GGA-PBE",
  "state": "relaxed",
  "cell": [[-1.654, -4.638, 1.735], [1.000, -1.457, 4.913], [-3.876, -0.251, 3.489]],
  "species": ["Dy", "Mg", "Dy"],
  "frac_coords": [[0.250, 0.250, 0.250], [0.000, 0.000, 0.000], [0.750, 0.750, 0.750]],
  "total_magnetization_mub_per_cell": 0.05,
  "sg": "No. 225",
  "e_above_lowest_polymorph_mev_per_atom": 141,
  "total_energy_ry_per_atom": -0.2321
}

***

7.
{
  "formula": "Dy3Mg4",
  "functional": "GGA-PBE",
  "state": "relaxed",
  "cell": [[2.635, -3.093, 8.100], [8.057, 2.416, 3.371], [-2.241, 4.211, 2.337]],
  "species": ["Mg", "Dy", "Mg", "Dy", "Mg", "Dy", "Mg", "Mg", "Dy", "Dy", "Mg", "Dy", "Mg", "Mg"],
  "frac_coords": [[0.809, 0.957, 0.500], [0.860, 0.725, 0.000], [0.576, 0.143, 0.000], [0.228, 0.823, 0.500], [0.529, 0.376, 0.500], [0.296, 0.558, 0.000], [0.995, 0.005, 0.000], [0.948, 0.238, 0.500], [0.129, 0.289, 0.000], [0.394, 0.092, 0.500], [0.715, 0.424, 0.000], [0.663, 0.656, 0.500], [0.095, 0.524, 0.500], [0.429, 0.857, 0.000]],
  "total_magnetization_mub_per_cell": 0.03,
  "sg": "No. 176",
  "e_above_lowest_polymorph_mev_per_atom": 4,
  "total_energy_ry_per_atom": -0.2108
}

***

8.
{
  "formula": "DyMgMo",
  "functional": "GGA-PBE",
  "state": "relaxed",
  "cell": [[2.146, -4.156, -1.152], [-2.402, -3.336, -2.510], [1.204, -0.902, -4.576]],
  "species": ["Dy", "Mo", "Mg"],
  "frac_coords": [[0.250, 0.250, 0.250], [0.000, 0.000, 0.000], [0.750, 0.750, 0.750]],
  "total_magnetization_mub_per_cell": 2.77,
  "sg": "No. 216",
  "e_above_lowest_polymorph_mev_per_atom": 0,
  "total_energy_ry_per_atom": -0.3488
}

***

9.
{
  "formula": "DyMgNO",
  "functional": "GGA-PBE",
  "state": "relaxed",
  "cell": [[-1.061, 4.185, -1.920], [-4.529, -1.303, -0.338], [-0.794, 1.689, 4.120]],
  "species": ["N", "O", "Mg", "Dy", "O", "Mg", "N", "Dy"],
  "frac_coords": [[0.750, 0.750, 0.501], [0.750, 0.250, 0.000], [0.250, 0.250, 0.001], [0.250, 0.750, 0.500], [0.250, 0.750, 0.000], [0.750, 0.750, 0.999], [0.250, 0.250, 0.499], [0.750, 0.250, 0.500]],
  "total_magnetization_mub_per_cell": 0.00,
  "sg": "No. 129",
  "e_above_lowest_polymorph_mev_per_atom": 43,
  "total_energy_ry_per_atom": -0.5083
}

***

10.
{
  "formula": "DyMgNO",
  "functional": "GGA-PBE",
  "state": "relaxed",
  "cell": [[-1.476, -3.716, 4.338], [5.848, -4.544, -1.903], [2.955, 2.488, 3.137]],
  "species": ["Dy", "O", "Mg", "Mg", "Mg", "N", "Dy", "O", "O", "N", "Mg", "Dy", "N", "N", "Dy", "O"],
  "frac_coords": [[0.056, 0.357, 0.034], [0.401, 0.904, 0.106], [0.078, 0.890, 0.008], [0.578, 0.110, 0.008], [0.922, 0.110, 0.508], [0.062, 0.358, 0.555], [0.556, 0.643, 0.034], [0.901, 0.096, 0.106], [0.599, 0.096, 0.606], [0.562, 0.642, 0.555], [0.422, 0.890, 0.508], [0.944, 0.643, 0.534], [0.938, 0.642, 0.055], [0.438, 0.358, 0.055], [0.444, 0.357, 0.534], [0.099, 0.904, 0.606]],
  "total_magnetization_mub_per_cell": 0.01,
  "sg": "No. 29",
  "e_above_lowest_polymorph_mev_per_atom": 0,
  "total_energy_ry_per_atom": -0.5114
}

***

11.
{
  "formula": "DyMgNO",
  "functional": "GGA-PBE",
  "state": "relaxed",
  "cell": [[-2.662, -0.822, 2.508], [-2.098, -1.502, -2.719], [3.311, -6.897, 1.254]],
  "species": ["Dy", "Mg", "O", "N", "O", "N", "Mg", "Dy"],
  "frac_coords": [[0.250, 0.250, 0.149], [0.250, 0.750, 0.500], [0.250, 0.750, 0.000], [0.750, 0.750, 0.373], [0.750, 0.250, 0.000], [0.250, 0.250, 0.627], [0.750, 0.250, 0.500], [0.750, 0.750, 0.851]],
  "total_magnetization_mub_per_cell": 0.00,
  "sg": "No. 129",
  "e_above_lowest_polymorph_mev_per_atom": 298,
  "total_energy_ry_per_atom": -0.4895
}

***

12.
{
  "formula": "DyMgNO",
  "functional": "GGA-PBE",
  "state": "relaxed",
  "cell": [[-1.934, -3.349, 0.000], [0.000, 0.000, 4.857], [-5.299, 3.059, 0.000]],
  "species": ["Mg", "N", "N", "O", "O", "Mg", "Dy", "Dy"],
  "frac_coords": [[0.500, 0.470, 0.827], [0.000, 0.935, 0.318], [0.000, 0.435, 0.682], [0.500, 0.399, 0.147], [0.500, 0.899, 0.853], [0.500, 0.970, 0.173], [0.000, 0.450, 0.312], [0.000, 0.950, 0.688]],
  "total_magnetization_mub_per_cell": 0.00,
  "sg": "No. 26",
  "e_above_lowest_polymorph_mev_per_atom": 28,
  "total_energy_ry_per_atom": -0.5094
}

***

13.
{
  "formula": "DyMgNO",
  "functional": "GGA-PBE",
  "state": "relaxed",
  "cell": [[-1.777, -3.077, 0.000], [0.000, 0.000, 5.618], [-5.255, 3.034, 0.000]],
  "species": ["Mg", "Dy", "N", "N", "O", "O", "Dy", "Mg"],
  "frac_coords": [[0.000, 0.999, 0.654], [0.500, 0.998, 0.179], [0.000, 0.862, 0.342], [0.000, 0.362, 0.658], [0.500, 0.396, 0.178], [0.500, 0.896, 0.822], [0.500, 0.498, 0.821], [0.000, 0.499, 0.346]],
  "total_magnetization_mub_per_cell": 0.00,
  "sg": "No. 26",
  "e_above_lowest_polymorph_mev_per_atom": 125,
  "total_energy_ry_per_atom": -0.5022
}

***

14.
{
  "formula": "DyMgNO",
  "functional": "GGA-PBE",
  "state": "relaxed",
  "cell": [[-1.965, -4.740, 3.398], [2.562, -4.408, -4.667], [4.965, -0.062, 2.784]],
  "species": ["Dy", "Dy", "Mg", "O", "Dy", "N", "O", "Mg", "N", "N", "O", "Dy", "N", "O", "Mg", "Mg"],
  "frac_coords": [[0.575, 0.353, 0.983], [0.075, 0.647, 0.983], [0.405, 0.106, 0.495], [0.578, 0.369, 0.592], [0.925, 0.353, 0.483], [0.406, 0.119, 0.132], [0.422, 0.631, 0.092], [0.095, 0.106, 0.995], [0.094, 0.119, 0.632], [0.594, 0.881, 0.632], [0.078, 0.631, 0.592], [0.425, 0.647, 0.483], [0.906, 0.881, 0.132], [0.922, 0.369, 0.092], [0.595, 0.894, 0.995], [0.905, 0.894, 0.495]],
  "total_magnetization_mub_per_cell": 0.00,
  "sg": "No. 29",
  "e_above_lowest_polymorph_mev_per_atom": 232,
  "total_energy_ry_per_atom": -0.4944
}

***

15.
{
  "formula": "DyMgNO",
  "functional": "GGA-PBE",
  "state": "relaxed",
  "cell": [[-4.534, 0.779, 1.062], [-0.853, -4.638, -0.243], [0.961, -0.408, 4.402]],
  "species": ["O", "N", "Mg", "Dy", "Mg", "Dy", "N", "O"],
  "frac_coords": [[0.750, 0.250, 0.000], [0.250, 0.250, 0.499], [0.750, 0.750, 0.000], [0.250, 0.750, 0.500], [0.250, 0.250, 0.000], [0.750, 0.250, 0.500], [0.750, 0.750, 0.501], [0.250, 0.750, 0.000]],
  "total_magnetization_mub_per_cell": 0.00,
  "sg": "No. 123",
  "e_above_lowest_polymorph_mev_per_atom": 43,
  "total_energy_ry_per_atom": -0.5083
}

***

16.
{
  "formula": "DyMgZnN2",
  "functional": "GGA-PBE",
  "state": "relaxed",
  "cell": [[-2.905, 1.792, -0.551], [1.634, -1.502, -2.651], [-3.343, -5.156, 0.862]],
  "species": ["Dy", "N", "Zn", "Mg", "N"],
  "frac_coords": [[0.333, 0.667, 0.500], [0.000, 0.000, 0.771], [0.667, 0.333, 0.844], [0.000, 0.000, 0.130], [0.667, 0.333, 0.255]],
  "total_magnetization_mub_per_cell": 0.00,
  "sg": "No. 156",
  "total_energy_ry_per_atom": -0.3979
}

***

17.
{
  "formula": "NaDyMg",
  "functional": "GGA-PBE",
  "state": "relaxed",
  "cell": [[2.573, -4.079, -2.015], [-1.207, -4.856, 1.510], [-2.421, -3.240, -3.310]],
  "species": ["Mg", "Na", "Dy"],
  "frac_coords": [[0.000, 0.000, 0.000], [0.750, 0.750, 0.750], [0.250, 0.250, 0.250]],
  "total_magnetization_mub_per_cell": 0.09,
  "sg": "No. 216",
  "total_energy_ry_per_atom": -0.1421
}

***

18.
{
  "formula": "NaDyMgS3",
  "functional": "GGA-PBE",
  "state": "relaxed",
  "cell": [[2.002, -6.530, 0.000], [2.002, 6.530, 0.000], [0.000, 0.000, 10.805]],
  "species": ["Na", "Mg", "Na", "S", "Dy", "S", "Mg", "S", "S", "S", "Dy", "S"],
  "frac_coords": [[0.250, 0.750, 0.750], [0.471, 0.529, 0.250], [0.750, 0.250, 0.250], [0.631, 0.369, 0.568], [0.000, 0.000, 0.000], [0.369, 0.631, 0.068], [0.529, 0.471, 0.750], [0.369, 0.631, 0.432], [0.921, 0.079, 0.750], [0.631, 0.369, 0.932], [0.000, 0.000, 0.500], [0.079, 0.921, 0.250]],
  "total_magnetization_mub_per_cell": 0.00,
  "sg": "No. 63",
  "e_above_lowest_polymorph_mev_per_atom": 48,
  "total_energy_ry_per_atom": -0.3588
}

***

19.
{
  "formula": "NaDyMgS3",
  "functional": "GGA-PBE",
  "state": "relaxed",
  "cell": [[-0.541, 1.208, -7.784], [-0.860, -3.895, -0.545], [-9.539, 1.563, 3.888]],
  "species": ["S", "Dy", "Na", "Mg", "S", "S", "Dy", "Na", "S", "Mg", "S", "S"],
  "frac_coords": [[0.082, 0.250, 0.850], [0.330, 0.750, 0.857], [0.177, 0.250, 0.140], [0.943, 0.750, 0.386], [0.918, 0.750, 0.150], [0.787, 0.250, 0.423], [0.670, 0.250, 0.143], [0.823, 0.750, 0.860], [0.213, 0.750, 0.577], [0.057, 0.250, 0.614], [0.568, 0.250, 0.870], [0.432, 0.750, 0.130]],
  "total_magnetization_mub_per_cell": 0.01,
  "sg": "No. 11",
  "e_above_lowest_polymorph_mev_per_atom": 7,
  "total_energy_ry_per_atom": -0.3619
}

***

20.
{
  "formula": "NaDyMgS3",
  "functional": "GGA-PBE",
  "state": "relaxed",
  "cell": [[-1.628, -13.005, 5.451], [0.681, -1.595, -3.603], [10.876, -0.421, 2.242]],
  "species": ["Na", "Dy", "S", "Na", "S", "S", "S", "Mg", "S", "S", "S", "Mg", "S", "Dy", "S", "Dy", "Mg", "Na", "S", "Dy", "S", "S", "Mg", "Na"],
  "frac_coords": [[0.711, 0.250, 0.293], [0.462, 0.250, 0.356], [0.941, 0.750, 0.625], [0.211, 0.250, 0.207], [0.912, 0.250, 0.912], [0.349, 0.750, 0.261], [0.088, 0.750, 0.088], [0.539, 0.250, 0.904], [0.412, 0.250, 0.588], [0.151, 0.250, 0.761], [0.588, 0.750, 0.412], [0.961, 0.750, 0.404], [0.849, 0.750, 0.239], [0.962, 0.250, 0.144], [0.059, 0.250, 0.375], [0.538, 0.750, 0.644], [0.461, 0.750, 0.096], [0.789, 0.750, 0.793], [0.651, 0.250, 0.739], [0.038, 0.750, 0.856], [0.559, 0.250, 0.125], [0.441, 0.750, 0.875], [0.039, 0.250, 0.596], [0.289, 0.750, 0.707]],
  "total_magnetization_mub_per_cell": 0.00,
  "sg": "No. 62",
  "e_above_lowest_polymorph_mev_per_atom": 0,
  "total_energy_ry_per_atom": -0.3624
}

***

21.
{
  "formula": "NaDyMgSe3",
  "functional": "GGA-PBE",
  "state": "relaxed",
  "cell": [[-1.661, 1.751, -6.722], [-1.594, 0.804, 6.915], [6.903, 8.750, 0.574]],
  "species": ["Dy", "Na", "Na", "Mg", "Dy", "Se", "Se", "Se", "Se", "Se", "Mg", "Se"],
  "frac_coords": [[0.000, 0.000, 0.500], [0.247, 0.753, 0.250], [0.753, 0.247, 0.750], [0.471, 0.529, 0.750], [0.000, 0.000, 0.000], [0.635, 0.365, 0.434], [0.083, 0.917, 0.750], [0.365, 0.635, 0.566], [0.917, 0.083, 0.250], [0.365, 0.635, 0.934], [0.529, 0.471, 0.250], [0.635, 0.365, 0.066]],
  "total_magnetization_mub_per_cell": 0.01,
  "sg": "No. 63",
  "e_above_lowest_polymorph_mev_per_atom": 24,
  "total_energy_ry_per_atom": -0.3266
}

***

22.
{
  "formula": "NaDyMgSe3",
  "functional": "GGA-PBE",
  "state": "relaxed",
  "cell": [[8.242, 0.000, 0.000], [0.000, 4.200, 0.000], [-2.707, 0.000, 10.002]],
  "species": ["Se", "Dy", "Mg", "Dy", "Se", "Se", "Mg", "Na", "Se", "Se", "Se", "Na"],
  "frac_coords": [[0.066, 0.250, 0.857], [0.168, 0.250, 0.143], [0.574, 0.250, 0.608], [0.832, 0.750, 0.857], [0.413, 0.750, 0.144], [0.934, 0.750, 0.143], [0.426, 0.750, 0.392], [0.318, 0.750, 0.838], [0.587, 0.250, 0.856], [0.273, 0.250, 0.443], [0.727, 0.750, 0.557], [0.682, 0.250, 0.162]],
  "total_magnetization_mub_per_cell": 0.01,
  "sg": "No. 11",
  "e_above_lowest_polymorph_mev_per_atom": 0,
  "total_energy_ry_per_atom": -0.3284
}